Here is an optimized crystal structure of NdHo3Th2As6 from Alexandria via LeMat-Bulk. Energies are from PBE.

Unit cell a=4.191 b=8.343 c=9.338 alpha=102.63 beta=102.97 gamma=90.00
Atoms (fractional coordinates):
Nd (0.500, 0.000, 0.000)
Ho (0.500, 0.500, 0.000)
Ho (0.835, 0.166, 0.669)
Ho (0.165, 0.834, 0.331)
Th (0.834, 0.669, 0.669)
Th (0.166, 0.331, 0.331)
As (0.331, 0.921, 0.661)
As (0.665, 0.588, 0.330)
As (0.669, 0.079, 0.339)
As (0.998, 0.257, 0.997)
As (0.002, 0.743, 0.003)
As (0.335, 0.412, 0.670)

Summary:
The space group is C2/m (12). The calculation puts the mass density at 8315 kg/m³. The energy comes out at -79.12 eV/f.u. The formation energy is -1.490 eV/atom.